! PBE Mn2PbCl, optimized geometry; values from VASP
! * M_tot: 8.0 μB per formula unit
! * DOS(E_F): 9.711 states/eV/cell
! * E_form (uncorrected): 0.322 eV per atom
! * ΔE to the lowest computed polymorph: 0.280 eV/atom
&SYSTEM
  ibrav = 0, nat = 8, ntyp = 3
/
ATOMIC_SPECIES
Mn 54.94 Mn.upf
Pb 207.20 Pb.upf
Cl 35.45 Cl.upf
ATOMIC_POSITIONS angstrom
Mn 5.2712 1.4541 -0.8788
Mn 1.4541 1.7571 0.8788
Mn -1.7571 2.0600 2.6365
Mn 2.0600 1.7571 4.3942
Pb 3.5142 0.0000 1.7577
Pb 0.0000 0.0000 3.5153
Cl 0.0000 0.0000 0.0000
Cl 0.0000 3.5142 1.7577
CELL_PARAMETERS angstrom
-3.5142 3.5142 3.5153
3.5142 -3.5142 3.5153
3.5142 3.5142 -3.5153

! PBE MnPbCl2, optimized geometry; values from VASP
! * M_tot: 4.6 μB per formula unit
! * DOS(E_F): 1.868 states/eV/cell
! * E_form (uncorrected): -0.539 eV per atom
! * ΔE to the lowest computed polymorph: 0.122 eV/atom
&SYSTEM
  ibrav = 0, nat = 4, ntyp = 3
/
ATOMIC_SPECIES
Mn 54.94 Mn.upf
Pb 207.20 Pb.upf
Cl 35.45 Cl.upf
ATOMIC_POSITIONS angstrom
Mn 0.0000 0.0000 0.0000
Pb 0.0028 1.7119 4.6828
Cl 0.0002 1.7119 1.6698
Cl 0.0168 0.0000 7.8779
CELL_PARAMETERS angstrom
3.5800 0.0000 0.0000
0.0000 3.4239 0.0000
-1.7723 0.0000 9.4267

! PBE MnPbCl2, optimized geometry; values from VASP
! * M_tot: 4.8 μB per formula unit
! * DOS(E_F): 1.798 states/eV/cell
! * E_form (uncorrected): -0.400 eV per atom
! * ΔE to the lowest computed polymorph: 0.261 eV/atom
&SYSTEM
  ibrav = 0, nat = 4, ntyp = 3
/
ATOMIC_SPECIES
Mn 54.94 Mn.upf
Pb 207.20 Pb.upf
Cl 35.45 Cl.upf
ATOMIC_POSITIONS angstrom
Mn 0.0000 0.0000 0.0000
Pb 0.0000 0.0000 5.1008
Cl 1.6099 1.6099 1.5317
Cl 1.6099 1.6099 8.6700
CELL_PARAMETERS angstrom
3.2198 0.0000 0.0000
0.0000 3.2198 0.0000
0.0000 0.0000 10.2016